(1)
First-principles (PBE-GGA) data for a relaxed structure of ZnSb2Ir, as listed in the Alexandria database.

Cell lengths 7.3249, 7.3249, 7.3249 Å; angles 153.93, 149.23, 40.76 degrees
Element x y z (fractional)
Sb 0.0571 0.0571 0.0000
Zn 0.4455 0.4455 0.0000
Ir 0.2106 0.7106 0.5000
Sb 0.7868 0.2868 0.5000

Computed properties:
N(E_F) (states/eV/cell): 2.215
Energy (eV per atom): -4.452
Space-group type: Imm2, No. 44

---

(2)
First-principles (PBE-GGA) data for a relaxed structure of AcSmY3, as listed in the Alexandria database.

Cell lengths 9.7272, 9.2042, 9.2042 Å; angles 119.17, 89.96, 89.96 degrees
Element x y z (fractional)
Y 0.5694 0.2242 0.7789
Ac 0.7500 0.9975 0.0025
Y 0.4254 0.2120 0.4265
Sm 0.4337 0.5915 0.7944
Y 0.7518 0.6104 0.0161
Ac 0.2500 0.0025 0.9975
Y 0.2482 0.3896 0.9839
Y 0.4306 0.7758 0.2211
Ac 0.2500 0.5720 0.4280
Y 0.5746 0.7880 0.5735
Y 0.7481 0.9839 0.3896
Y 0.0694 0.7789 0.2242
Ac 0.7500 0.4280 0.5720
Y 0.0746 0.5735 0.7880
Sm 0.9337 0.7944 0.5915
Y 0.9254 0.4265 0.2120
Sm 0.0663 0.2056 0.4085
Y 0.9306 0.2211 0.7758
Sm 0.5663 0.4085 0.2056
Y 0.2519 0.0161 0.6104

Computed properties:
Energy of formation (eV per atom): 0.142
N(E_F) (states/eV/cell): 29.538
Space-group type: C2/c, No. 15

---

(3)
First-principles (PBE-GGA) data for a relaxed structure of LiHo2Si, as listed in the Alexandria database.

Cell lengths 3.8950, 4.7466, 4.7466 Å; angles 90.00, 90.00, 90.00 degrees
Element x y z (fractional)
Ho 0.0000 0.5000 0.0000
Li 0.5000 0.0000 0.0000
Ho 0.0000 0.0000 0.5000
Si 0.5000 0.5000 0.5000

Computed properties:
N(E_F) (states/eV/cell): 3.057
Energy (eV per atom): -4.463
Space-group type: P4/mmm, No. 123

---

(4)
First-principles (PBE-GGA) data for a relaxed structure of Ti2InMo, as listed in the Alexandria database.

Cell lengths 3.1057, 3.1057, 8.9726 Å; angles 80.03, 80.03, 60.00 degrees
Element x y z (fractional)
Mo 0.0000 0.0000 0.0000
Ti 0.7398 0.7398 0.7807
Ti 0.2602 0.2602 0.2193
In 0.5000 0.5000 0.5000

Computed properties:
Energy of formation (eV per atom): -0.008
N(E_F) (states/eV/cell): 3.348
Space-group type: R-3m, No. 166

---

(5)
First-principles (PBE-GGA) data for a relaxed structure of CdPtW2, as listed in the Alexandria database.

Cell lengths 2.7519, 4.1268, 5.9129 Å; angles 90.00, 90.00, 90.00 degrees
Element x y z (fractional)
W 0.5000 0.5000 0.2339
W 0.0000 0.0000 0.0049
Pt 0.5000 0.5000 0.7538
Cd 0.0000 0.0000 0.5075

Computed properties:
Energy of formation (eV per atom): 0.223
N(E_F) (states/eV/cell): 2.119
Space-group type: Pmm2, No. 25

---

(6)
First-principles (PBE-GGA) data for a relaxed structure of K2AgBPb, as listed in the Alexandria database.

Cell lengths 6.3750, 6.3750, 4.4269 Å; angles 90.00, 90.00, 90.00 degrees
Each line ends with the local moment (μB).
Element x y z (fractional)
Pb 0.0000 0.0000 0.5000  -0.02
B 0.0000 0.0000 0.0000  0.06
K 0.5000 0.0000 0.0000  0.00
Ag 0.5000 0.5000 0.5000  0.01
K 0.0000 0.5000 0.0000  0.00

Computed properties:
Energy of formation (eV per atom): 0.590
N(E_F) (states/eV/cell): 3.640
Space-group type: P4/mmm, No. 123

---

(7)
First-principles (PBE-GGA) data for a relaxed structure of Zn2PSe, as listed in the Alexandria database.

Cell lengths 4.6179, 4.6179, 4.6179 Å; angles 60.00, 60.00, 60.00 degrees
Element x y z (fractional)
Zn 0.7500 0.7500 0.7500
P 0.5000 0.5000 0.5000
Zn 0.0000 0.0000 0.0000
Se 0.2500 0.2500 0.2500

Computed properties:
N(E_F) (states/eV/cell): 1.873
Energy (eV per atom): -2.437
Space-group type: F-43m, No. 216

---

(8)
First-principles (PBE-GGA) data for a relaxed structure of TmSi3Rh3, as listed in the Alexandria database.

Cell lengths 4.0778, 8.3556, 8.3562 Å; angles 120.00, 90.00, 90.00 degrees
Element x y z (fractional)
Si 0.7500 0.6236 0.5686
Tm 0.7500 0.3333 0.6667
Tm 0.2500 0.6667 0.3333
Rh 0.2500 0.2768 0.9342
Si 0.2500 0.0550 0.6236
Si 0.7500 0.4314 0.0550
Rh 0.7500 0.3427 0.2769
Si 0.7500 0.9450 0.3764
Si 0.2500 0.5686 0.9450
Rh 0.2500 0.0658 0.3427
Si 0.2500 0.3764 0.4314
Rh 0.7500 0.7232 0.0658
Rh 0.7500 0.9342 0.6573
Rh 0.2500 0.6573 0.7231

Computed properties:
N(E_F) (states/eV/cell): 4.213
Energy (eV per atom): -6.858
Space-group type: P6_3/m, No. 176

---

(9)
First-principles (PBE-GGA) data for a relaxed structure of SbPb2Se, as listed in the Alexandria database.

Cell lengths 3.7737, 3.7737, 8.7647 Å; angles 90.00, 90.00, 90.00 degrees
Element x y z (fractional)
Pb 0.0000 0.0000 0.9382
Pb 0.5000 0.5000 0.2800
Se 0.5000 0.5000 0.7926
Sb 0.0000 0.0000 0.4892

Computed properties:
N(E_F) (states/eV/cell): 1.697
Energy (eV per atom): -3.769
Space-group type: P4mm, No. 99

---

(10)
First-principles (PBE-GGA) data for a relaxed structure of Te2PCl, as listed in the Alexandria database.

Cell lengths 3.8386, 7.0353, 5.7699 Å; angles 49.96, 90.00, 90.00 degrees
Element x y z (fractional)
Te 0.0000 0.9756 0.9854
P 0.5000 0.8553 0.7771
Cl 0.0000 0.4778 0.5074
Te 0.5000 0.1913 0.2300

Computed properties:
N(E_F) (states/eV/cell): 1.679
Energy (eV per atom): -3.355
Space-group type: Pm, No. 6

---

(11)
First-principles (PBE-GGA) data for a relaxed structure of TlH3I, as listed in the Alexandria database.

Cell lengths 5.3268, 10.3949, 11.9657 Å; angles 90.19, 23.07, 90.04 degrees
Element x y z (fractional)
Tl 0.8138 0.2505 0.9881
H 0.6393 0.9783 0.9508
H 0.1420 0.2506 0.6938
H 0.6385 0.5215 0.9514
H 0.8580 0.7494 0.3062
I 0.3676 0.2509 0.4305
H 0.3615 0.4785 0.0486
H 0.3607 0.0217 0.0492
Tl 0.1862 0.7495 0.0119
I 0.6324 0.7491 0.5695

Computed properties:
N(E_F) (states/eV/cell): 1.249
Energy (eV per atom): -2.712
Space-group type: P-1, No. 2

---

(12)
First-principles (PBE-GGA) data for a relaxed structure of Cu3AgB, as listed in the Alexandria database.

Cell lengths 3.9896, 3.9896, 3.9896 Å; angles 90.00, 90.00, 90.00 degrees
Element x y z (fractional)
Cu 0.0000 0.0000 0.5000
Ag 0.5000 0.5000 0.5000
B 0.0000 0.0000 0.0000
Cu 0.5000 0.0000 0.0000
Cu 0.0000 0.5000 0.0000

Computed properties:
Energy of formation (eV per atom): 0.228
N(E_F) (states/eV/cell): 1.810
Space-group type: Pm-3m, No. 221

---

(13)
First-principles (PBE-GGA) data for a relaxed structure of InTe2H, as listed in the Alexandria database.

Cell lengths 4.4315, 6.3655, 9.3529 Å; angles 90.06, 95.54, 90.01 degrees
Element x y z (fractional)
Te 0.2610 0.1470 0.4865
In 0.2171 0.9143 0.2331
Te 0.7242 0.6275 0.2533
H 0.3110 0.7456 0.7742
Te 0.6421 0.6458 0.7296
In 0.6835 0.4139 0.9830
Te 0.1765 0.1271 0.9628
H 0.5924 0.2456 0.4414

Computed properties:
Energy (eV per atom): -3.206
Space-group type: P1, No. 1

---

(14)
First-principles (PBE-GGA) data for a relaxed structure of RbTlCu2F5, as listed in the Alexandria database.

Cell lengths 4.0499, 4.0499, 8.8193 Å; angles 90.00, 90.00, 90.00 degrees
Element x y z (fractional)
F 0.0000 0.5000 0.2299
F 0.5000 0.0000 0.2299
Cu 0.5000 0.5000 0.2502
Cu 0.5000 0.5000 0.7498
F 0.5000 0.0000 0.7701
F 0.0000 0.5000 0.7701
Rb 0.0000 0.0000 0.5000
F 0.5000 0.5000 0.5000
Tl 0.0000 0.0000 0.0000

Computed properties:
N(E_F) (states/eV/cell): 1.727
Energy (eV per atom): -4.103
Space-group type: P4/mmm, No. 123

---

(15)
First-principles (PBE-GGA) data for a relaxed structure of IrRhW4, as listed in the Alexandria database.

Cell lengths 5.1824, 5.1824, 5.1824 Å; angles 60.00, 60.00, 60.00 degrees
Element x y z (fractional)
W 0.3744 0.8767 0.3744
Ir 0.7500 0.7500 0.7500
W 0.8767 0.3744 0.3744
W 0.3744 0.3744 0.3744
Rh 0.0000 0.0000 0.0000
W 0.3744 0.3744 0.8767

Computed properties:
Energy of formation (eV per atom): 0.370
N(E_F) (states/eV/cell): 3.789
Space-group type: F-43m, No. 216

---

(16)
First-principles (PBE-GGA) data for a relaxed structure of ZnSi2Ni, as listed in the Alexandria database.

Cell lengths 4.7728, 4.7728, 4.1838 Å; angles 86.43, 86.43, 33.92 degrees
Element x y z (fractional)
Si 0.7495 0.7495 0.7527
Ni 0.2533 0.2533 0.2438
Si 0.9851 0.9851 0.0104
Zn 0.5121 0.5121 0.4931

Computed properties:
N(E_F) (states/eV/cell): 1.224
Energy (eV per atom): -4.430
Space-group type: Cm, No. 8